Record 1
Computed, not measured: crystalline BeGeAu3 at its relaxed geometry at the PBE level of DFT. Values from VASP.

The structure in Quantum ESPRESSO input format:
```
&SYSTEM
  ibrav = 0, nat = 5, ntyp = 3
/
ATOMIC_SPECIES
Be 9.01 Be.upf
Au 196.97 Au.upf
Ge 72.64 Ge.upf
CELL_PARAMETERS angstrom
4.501 0.000 0.000
0.000 4.501 0.000
0.000 0.000 4.501
ATOMIC_POSITIONS crystal
Be 0.000 0.000 0.000
Au 0.500 0.000 0.000
Au 0.000 0.500 0.000
Ge 0.500 0.500 0.500
Au 0.000 0.000 0.500
```

Properties
The formation energy comes out at 0.194 eV/atom. For the raw total energy, the calculation gives -3.441 eV/atom. The density of states at the Fermi level is 1.819 states/eV/cell. The relative energy among the computed polymorphs is 0 meV per atom.


Record 2
Computed, not measured: crystalline Rb2TcO2F4 at its relaxed geometry at the PBE level of DFT. Values from VASP.

The structure in Quantum ESPRESSO input format:
```
&SYSTEM
  ibrav = 0, nat = 9, ntyp = 4
/
ATOMIC_SPECIES
Rb 85.47 Rb.upf
O 16.00 O.upf
F 19.00 F.upf
Tc 98.00 Tc.upf
CELL_PARAMETERS angstrom
4.932 -0.379 -0.258
0.646 6.012 0.373
0.646 2.554 5.455
ATOMIC_POSITIONS crystal
Rb 0.802 0.334 0.334
O 0.279 0.137 0.137
F 0.714 0.846 0.314
F 0.286 0.686 0.154
O 0.721 0.863 0.863
F 0.286 0.154 0.686
F 0.714 0.314 0.846
Tc 0.500 0.000 0.000
Rb 0.198 0.666 0.666
```

Properties
As for the formation energy (no corrections): -19.76 eV per formula unit. For the raw total energy, the calculation gives -5.495 eV/atom.


Record 3
Computed, not measured: crystalline CaMg5Ga2 at its relaxed geometry at the PBE level of DFT. Values from VASP.

The structure in Quantum ESPRESSO input format:
```
&SYSTEM
  ibrav = 0, nat = 8, ntyp = 3
/
ATOMIC_SPECIES
Ga 69.72 Ga.upf
Ca 40.08 Ca.upf
Mg 24.30 Mg.upf
CELL_PARAMETERS angstrom
4.429 0.000 0.000
2.214 6.569 0.057
2.214 1.263 6.447
ATOMIC_POSITIONS crystal
Ga 0.271 0.229 0.229
Ca 0.000 0.000 0.000
Ga 0.729 0.771 0.771
Mg 0.342 0.477 0.840
Mg 0.658 0.160 0.523
Mg 0.000 0.500 0.500
Mg 0.658 0.523 0.160
Mg 0.342 0.840 0.477
```

Properties
The formation energy comes out at -0.186 eV/atom. For the raw total energy, the calculation gives -2.189 eV/atom. The density of states at the Fermi level is 3.290 states/eV/cell.


Record 4
Computed, not measured: crystalline TlAsPb2 at its relaxed geometry at the PBE level of DFT. Values from VASP.

The structure in Quantum ESPRESSO input format:
```
&SYSTEM
  ibrav = 0, nat = 8, ntyp = 3
/
ATOMIC_SPECIES
Pb 207.20 Pb.upf
Tl 204.38 Tl.upf
As 74.92 As.upf
CELL_PARAMETERS angstrom
3.986 0.000 0.000
0.000 9.073 -1.252
0.000 -0.880 6.711
ATOMIC_POSITIONS crystal
Pb 0.250 0.572 0.256
Pb 0.750 0.858 0.579
Tl 0.250 0.150 0.925
Pb 0.250 0.142 0.421
As 0.250 0.670 0.732
As 0.750 0.330 0.268
Tl 0.750 0.850 0.075
Pb 0.750 0.428 0.744
```

Properties
The formation energy comes out at 0.030 eV/atom. For the raw total energy, the calculation gives -3.578 eV/atom. The density of states at the Fermi level is 4.049 states/eV/cell. The relative energy among the computed polymorphs is 7 meV per atom.


Record 5
Computed, not measured: crystalline LaReHg2 at its relaxed geometry at the PBE level of DFT. Values from VASP.

The structure in Quantum ESPRESSO input format:
```
&SYSTEM
  ibrav = 0, nat = 4, ntyp = 3
/
ATOMIC_SPECIES
Hg 200.59 Hg.upf
Re 186.21 Re.upf
La 138.91 La.upf
CELL_PARAMETERS angstrom
6.137 0.068 -0.012
5.088 3.431 -0.012
2.003 0.624 4.471
ATOMIC_POSITIONS crystal
Hg 0.537 0.537 0.463
Hg 0.963 0.963 0.037
Re 0.250 0.250 0.250
La 0.750 0.750 0.750
```

Properties
The formation energy comes out at 0.329 eV/atom. For the raw total energy, the calculation gives -4.166 eV/atom. The density of states at the Fermi level is 3.939 states/eV/cell. The relative energy among the computed polymorphs is 0 meV per atom.


Record 6
Computed, not measured: crystalline K3Mn2AgBr8 at its relaxed geometry at the PBE level of DFT. Values from VASP.

The structure in Quantum ESPRESSO input format:
```
&SYSTEM
  ibrav = 0, nat = 14, ntyp = 4
/
ATOMIC_SPECIES
Mn 54.94 Mn.upf
K 39.10 K.upf
Br 79.90 Br.upf
Ag 107.87 Ag.upf
CELL_PARAMETERS angstrom
7.800 0.000 0.000
-3.900 6.755 0.000
0.000 0.000 9.429
ATOMIC_POSITIONS crystal
Mn 0.333 0.667 0.196
K 0.667 0.333 0.397
Br 0.165 0.835 0.310
Br 0.667 0.333 0.061
Br 0.835 0.669 0.690
Br 0.331 0.165 0.690
Br 0.165 0.331 0.310
Ag 0.000 0.000 0.500
Br 0.835 0.165 0.690
K 0.333 0.667 0.603
K 0.000 0.000 0.000
Br 0.333 0.667 0.939
Mn 0.667 0.333 0.804
Br 0.669 0.835 0.310
```

Properties
As for the formation energy (no corrections): -15.42 eV per formula unit. For the raw total energy, the calculation gives -3.806 eV/atom. The density of states at the Fermi level is 0.000 states/eV/cell.


Record 7
Computed, not measured: crystalline CaZnCu at its relaxed geometry at the PBE level of DFT. Values from VASP.

The structure in Quantum ESPRESSO input format:
```
&SYSTEM
  ibrav = 0, nat = 3, ntyp = 3
/
ATOMIC_SPECIES
Ca 40.08 Ca.upf
Cu 63.55 Cu.upf
Zn 65.41 Zn.upf
CELL_PARAMETERS angstrom
-3.207 2.663 -1.226
1.477 -3.029 -2.743
-2.611 -2.514 1.370
ATOMIC_POSITIONS crystal
Ca 0.000 0.000 0.000
Cu 0.667 0.333 0.500
Zn 0.333 0.667 0.500
```

Properties
The formation energy comes out at -0.197 eV/atom. For the raw total energy, the calculation gives -2.654 eV/atom. The density of states at the Fermi level is 2.140 states/eV/cell.


Record 8
Computed, not measured: crystalline Ho4CdCu2Ir at its relaxed geometry at the PBE level of DFT. Values from VASP.

The structure in Quantum ESPRESSO input format:
```
&SYSTEM
  ibrav = 0, nat = 8, ntyp = 4
/
ATOMIC_SPECIES
Ho 164.93 Ho.upf
Ir 192.22 Ir.upf
Cd 112.41 Cd.upf
Cu 63.55 Cu.upf
CELL_PARAMETERS angstrom
-1.266 3.371 -3.423
-2.636 -1.372 -3.982
-8.190 2.181 1.571
ATOMIC_POSITIONS crystal
Ho 0.131 0.131 0.606
Ir 0.500 0.500 0.500
Cd 0.000 0.000 0.000
Cu 0.742 0.742 0.775
Ho 0.383 0.383 0.850
Ho 0.617 0.617 0.150
Ho 0.869 0.869 0.394
Cu 0.258 0.258 0.225
```

Properties
The formation energy comes out at -0.459 eV/atom. For the raw total energy, the calculation gives -4.994 eV/atom. The density of states at the Fermi level is 4.889 states/eV/cell.


Record 9
Computed, not measured: crystalline Er3Al3Zn8 at its relaxed geometry at the PBE level of DFT. Values from VASP.

The structure in Quantum ESPRESSO input format:
```
&SYSTEM
  ibrav = 0, nat = 14, ntyp = 3
/
ATOMIC_SPECIES
Zn 65.41 Zn.upf
Er 167.26 Er.upf
Al 26.98 Al.upf
CELL_PARAMETERS angstrom
-3.513 -0.615 -2.304
-3.240 -6.880 2.865
-6.150 1.907 4.958
ATOMIC_POSITIONS crystal
Zn 0.839 0.530 0.793
Zn 0.360 0.364 0.916
Zn 0.640 0.636 0.084
Er 0.197 0.803 0.803
Al 0.500 0.000 0.000
Zn 0.640 0.084 0.636
Zn 0.360 0.916 0.364
Er 0.803 0.197 0.197
Zn 0.161 0.470 0.207
Zn 0.839 0.793 0.530
Al 0.000 0.204 0.796
Zn 0.161 0.207 0.470
Al 0.000 0.796 0.204
Er 0.500 0.500 0.500
```

Properties
The formation energy comes out at -0.362 eV/atom. For the raw total energy, the calculation gives -2.870 eV/atom. The density of states at the Fermi level is 4.406 states/eV/cell.


Record 10
Computed, not measured: crystalline Mo3P at its relaxed geometry at the PBE level of DFT. Values from VASP.

The structure in Quantum ESPRESSO input format:
```
&SYSTEM
  ibrav = 0, nat = 16, ntyp = 2
/
ATOMIC_SPECIES
Mo 95.94 Mo.upf
P 30.97 P.upf
CELL_PARAMETERS angstrom
-3.734 5.320 3.479
4.297 -5.846 1.307
5.349 4.354 -2.606
ATOMIC_POSITIONS crystal
Mo 0.355 0.000 0.355
Mo 0.675 0.675 0.815
Mo 0.000 0.645 0.645
Mo 0.325 0.140 0.000
Mo 0.470 0.470 0.402
Mo 0.140 0.325 0.000
Mo 0.530 0.932 0.000
Mo 0.068 0.068 0.598
Mo 0.000 0.355 0.355
Mo 0.860 0.860 0.185
P 0.500 0.208 0.708
P 0.500 0.792 0.292
P 0.208 0.500 0.708
Mo 0.645 0.000 0.645
P 0.792 0.500 0.292
Mo 0.932 0.530 0.000
```

Properties
The formation energy comes out at -0.362 eV/atom. For the raw total energy, the calculation gives -9.838 eV/atom. The density of states at the Fermi level is 11.124 states/eV/cell. The relative energy among the computed polymorphs is 0 meV per atom.


Record 11
Computed, not measured: crystalline PuCuSi3 at its relaxed geometry at the PBE level of DFT. Values from VASP.

The structure in Quantum ESPRESSO input format:
```
&SYSTEM
  ibrav = 0, nat = 10, ntyp = 3
/
ATOMIC_SPECIES
Si 28.09 Si.upf
Cu 63.55 Cu.upf
Pu 244.00 Pu.upf
CELL_PARAMETERS angstrom
4.041 0.000 0.000
0.000 3.960 -0.761
0.000 0.001 10.693
ATOMIC_POSITIONS crystal
Si 0.000 0.721 0.442
Cu 0.000 0.389 0.777
Pu 0.500 0.168 0.335
Si 0.000 0.279 0.558
Si 0.500 0.556 0.111
Si 0.500 0.444 0.889
Si 0.000 0.944 0.889
Cu 0.000 0.611 0.223
Si 0.000 0.056 0.111
Pu 0.500 0.832 0.665
```

Properties
As for the formation energy (no corrections): -1.49 eV per formula unit. For the raw total energy, the calculation gives -7.238 eV/atom. The density of states at the Fermi level is 20.024 states/eV/cell.


Record 12
Computed, not measured: crystalline TiAsAu2Br at its relaxed geometry at the PBE level of DFT. Values from VASP.

The structure in Quantum ESPRESSO input format:
```
&SYSTEM
  ibrav = 0, nat = 5, ntyp = 4
/
ATOMIC_SPECIES
As 74.92 As.upf
Au 196.97 Au.upf
Br 79.90 Br.upf
Ti 47.87 Ti.upf
CELL_PARAMETERS angstrom
5.072 0.000 0.000
0.000 4.689 0.000
0.000 0.000 5.072
ATOMIC_POSITIONS crystal
As 0.500 0.500 0.500
Au 0.000 0.000 0.500
Br 0.000 0.000 0.000
Au 0.500 0.000 0.000
Ti 0.000 0.500 0.000
```

Properties
As for the formation energy (no corrections): 4.68 eV per formula unit. For the raw total energy, the calculation gives -3.218 eV/atom. The density of states at the Fermi level is 5.737 states/eV/cell.


Record 13
Computed, not measured: crystalline KLi2In at its relaxed geometry at the PBE level of DFT. Values from VASP.

The structure in Quantum ESPRESSO input format:
```
&SYSTEM
  ibrav = 0, nat = 4, ntyp = 3
/
ATOMIC_SPECIES
Li 6.94 Li.upf
In 114.82 In.upf
K 39.10 K.upf
CELL_PARAMETERS angstrom
4.833 0.000 0.000
0.000 3.303 -0.034
0.000 1.745 7.380
ATOMIC_POSITIONS crystal
Li 0.000 0.157 0.073
In 0.000 0.485 0.401
Li 0.500 0.036 0.288
K 0.500 0.821 0.739
```

Properties
The formation energy comes out at -0.007 eV/atom. For the raw total energy, the calculation gives -1.923 eV/atom. The density of states at the Fermi level is 2.270 states/eV/cell.